[1]
## AcPmO2 (PBE)

Data for an optimized crystal structure of AcPmO2.

Cell lengths 3.2089, 3.2089, 6.3706 Å; angles 90.00, 90.00, 90.00 degrees
Fractional coordinates of all 4 atoms:
Ac  0.0000  0.0000  0.0000
Pm  0.0000  0.0000  0.5000
O  0.5000  0.5000  0.2577
O  0.5000  0.5000  0.7423

Summary:
Energy relative to the elements, uncorrected, eV per formula unit: -8.0
Space-group type: No. 123
Energy relative to the lowest polymorph listed for this composition, eV per atom: 0.673

***

[2]
## Ac3PmO6 (PBE)

Data for an optimized crystal structure of Ac3PmO6.

Cell lengths 7.3497, 7.3497, 7.3497 Å; angles 91.91, 91.91, 91.91 degrees
Fractional coordinates of all 20 atoms:
Ac  0.0565  0.7524  0.5634
Ac  0.2476  0.4366  0.9435
Ac  0.4366  0.9435  0.2476
Ac  0.5634  0.0565  0.7524
Ac  0.7524  0.5634  0.0565
Ac  0.9435  0.2476  0.4366
Pm  0.0000  0.0000  0.0000
Pm  0.5000  0.5000  0.5000
O  0.0331  0.6921  0.9030
O  0.0970  0.9669  0.3079
O  0.1927  0.4379  0.5895
O  0.3079  0.0970  0.9669
O  0.4105  0.8073  0.5621
O  0.4379  0.5895  0.1927
O  0.5621  0.4105  0.8073
O  0.5895  0.1927  0.4379
O  0.6921  0.9030  0.0331
O  0.8073  0.5621  0.4105
O  0.9030  0.0331  0.6921
O  0.9669  0.3079  0.0970

Summary:
Energy relative to the elements, uncorrected, eV per formula unit: -33.5
Space-group type: No. 148

***

[3]
## Ac3PmO (PBE)

Data for an optimized crystal structure of Ac3PmO.

Cell lengths 5.4270, 5.4270, 5.4270 Å; angles 90.00, 90.00, 90.00 degrees
Fractional coordinates of all 5 atoms:
Ac  0.0000  0.0000  0.5000
Ac  0.0000  0.5000  0.0000
Ac  0.5000  0.0000  0.0000
Pm  0.5000  0.5000  0.5000
O  0.0000  0.0000  0.0000

Summary:
Energy relative to the elements, uncorrected, eV per formula unit: -5.3
Space-group type: No. 221

***

[4]
## Ac2Pm4O (PBE)

Data for an optimized crystal structure of Ac2Pm4O.

Cell lengths 9.9816, 9.9816, 9.9816 Å; angles 150.83, 150.83, 41.72 degrees
Fractional coordinates of all 7 atoms:
Ac  0.1718  0.1718  0.0000
Ac  0.8282  0.8282  0.0000
Pm  0.0000  0.5000  0.5000
Pm  0.3724  0.3724  0.0000
Pm  0.5000  0.0000  0.5000
Pm  0.6276  0.6276  0.0000
O  0.5000  0.5000  0.0000

Summary:
Energy relative to the elements, uncorrected, eV per formula unit: -4.5
Space-group type: No. 139

***

[5]
## Ac2PmO4 (PBE)

Data for an optimized crystal structure of Ac2PmO4.

Cell lengths 7.3652, 7.3652, 7.3652 Å; angles 144.25, 144.25, 51.46 degrees
Fractional coordinates of all 7 atoms:
Ac  0.1502  0.1502  0.0000
Ac  0.8498  0.8498  0.0000
Pm  0.5000  0.5000  0.0000
O  0.0000  0.5000  0.5000
O  0.3209  0.3209  0.0000
O  0.5000  0.0000  0.5000
O  0.6791  0.6791  0.0000

Summary:
Energy relative to the elements, uncorrected, eV per formula unit: -20.0
Space-group type: No. 139

***

[6]
## Ac6PmO12 (PBE)

Data for an optimized crystal structure of Ac6PmO12.

Cell lengths 7.2191, 7.2191, 7.2191 Å; angles 99.31, 99.31, 99.31 degrees
Fractional coordinates of all 19 atoms:
Ac  0.1041  0.6377  0.7925
Ac  0.2075  0.8959  0.3623
Ac  0.3623  0.2075  0.8959
Ac  0.6377  0.7925  0.1041
Ac  0.7925  0.1041  0.6377
Ac  0.8959  0.3623  0.2075
Pm  0.5000  0.5000  0.5000
O  0.0580  0.3234  0.9115
O  0.0885  0.9420  0.6766
O  0.1860  0.5639  0.4382
O  0.3234  0.9115  0.0580
O  0.4361  0.5618  0.8140
O  0.4382  0.1860  0.5639
O  0.5618  0.8140  0.4361
O  0.5639  0.4382  0.1860
O  0.6766  0.0885  0.9420
O  0.8140  0.4361  0.5618
O  0.9115  0.0580  0.3234
O  0.9420  0.6766  0.0885

Summary:
Energy relative to the elements, uncorrected, eV per formula unit: -57.4
Space-group type: No. 148

***

What DOS at the Fermi energy values result from the calculations? In sequence: 1.79 0.00 4.18 8.01 0.32 19.46 states/eV/cell.
What raw total energy values result from the calculations? In sequence: -6.698 -8.029 -5.471 -5.244 -7.545 -7.701 eV/atom.